(1)
FeSiPt2 | PBE | optimized geometry

ΔE_f (raw): -0.2618 eV/atom
DFT total energy: -54.0 eV for the cell shown
size of the total moment: 6.12 Bohr magnetons per cell

CIF file:
```
data_FeSiPt2
_chemical_formula_sum 'Fe2 Si2 Pt4'
_cell_length_a 5.4278
_cell_length_b 7.4856
_cell_length_c 2.7736
_cell_angle_alpha 90.00
_cell_angle_beta 90.00
_cell_angle_gamma 90.00
_symmetry_space_group_name_H-M 'C m m m'
_symmetry_Int_Tables_number 65
_symmetry_space_group_name_Hall '-C 2 2'
loop_
_atom_site_label
_atom_site_fract_x
_atom_site_fract_y
_atom_site_fract_z
_atom_site_occupancy
Fe1 0.0000 0.0000 0.0000 1
Si1 0.0000 0.5000 0.0000 1
Pt1 0.2500 0.2500 0.5000 1
```

(2)
FeSi2Pt2 | PBE | optimized geometry

ΔE_f (raw): -0.3070 eV/atom
DFT total energy: -65.9 eV for the cell shown
size of the total moment: 6.22 Bohr magnetons per cell

CIF file:
```
data_FeSi2Pt2
_chemical_formula_sum 'Fe2 Si4 Pt4'
_cell_length_a 5.4976
_cell_length_b 6.8844
_cell_length_c 4.6107
_cell_angle_alpha 90.00
_cell_angle_beta 112.24
_cell_angle_gamma 90.00
_symmetry_space_group_name_H-M 'C 1 m 1'
_symmetry_Int_Tables_number 8
_symmetry_space_group_name_Hall 'C -2y'
loop_
_atom_site_label
_atom_site_fract_x
_atom_site_fract_y
_atom_site_fract_z
_atom_site_occupancy
Fe1 0.0000 0.0000 0.0000 1
Si1 0.0214 0.5000 0.7926 1
Si2 0.2473 0.5000 0.3449 1
Pt1 0.1430 0.2079 0.5687 1
```

(3)
FeSiPt2 | PBE | optimized geometry

ΔE_f (raw): -0.2546 eV/atom
DFT total energy: -81.0 eV for the cell shown
size of the total moment: 7.15 Bohr magnetons per cell

CIF file:
```
data_FeSiPt2
_chemical_formula_sum 'Fe3 Si3 Pt6'
_cell_length_a 2.7882
_cell_length_b 2.7882
_cell_length_c 24.8823
_cell_angle_alpha 90.00
_cell_angle_beta 90.00
_cell_angle_gamma 120.00
_symmetry_space_group_name_H-M 'R 3 m'
_symmetry_Int_Tables_number 160
_symmetry_space_group_name_Hall 'R 3 -2"'
loop_
_atom_site_label
_atom_site_fract_x
_atom_site_fract_y
_atom_site_fract_z
_atom_site_occupancy
Fe1 0.0000 0.0000 0.0000 1
Si1 0.0000 0.0000 0.7385 1
Pt1 0.0000 0.0000 0.2491 1
Pt2 0.0000 0.0000 0.4827 1
```

(4)
FeSiPt2 | PBE | optimized geometry

ΔE_f (raw): -0.1457 eV/atom
DFT total energy: -106.2 eV for the cell shown
size of the total moment: 11.40 Bohr magnetons per cell

CIF file:
```
data_FeSiPt2
_chemical_formula_sum 'Fe4 Si4 Pt8'
_cell_length_a 6.1158
_cell_length_b 6.1158
_cell_length_c 6.1158
_cell_angle_alpha 90.00
_cell_angle_beta 90.00
_cell_angle_gamma 90.00
_symmetry_space_group_name_H-M 'F -4 3 m'
_symmetry_Int_Tables_number 216
_symmetry_space_group_name_Hall 'F -4 2 3'
loop_
_atom_site_label
_atom_site_fract_x
_atom_site_fract_y
_atom_site_fract_z
_atom_site_occupancy
Fe1 0.0000 0.0000 0.0000 1
Si1 0.2500 0.2500 0.7500 1
Pt1 0.0000 0.0000 0.5000 1
Pt2 0.2500 0.2500 0.2500 1
```

(5)
Sm2FeSi4Pt3 | PBE | optimized geometry

ΔE_f (raw): -0.9991 eV/atom
DFT total energy: -67.7 eV for the cell shown
size of the total moment: 0.00 Bohr magnetons per cell

CIF file:
```
data_Sm2FeSi4Pt3
_chemical_formula_sum 'Sm2 Fe1 Si4 Pt3'
_cell_length_a 4.1442
_cell_length_b 4.1442
_cell_length_c 9.9937
_cell_angle_alpha 90.00
_cell_angle_beta 90.00
_cell_angle_gamma 90.00
_symmetry_space_group_name_H-M 'P -4 m 2'
_symmetry_Int_Tables_number 115
_symmetry_space_group_name_Hall 'P -4 -2'
loop_
_atom_site_label
_atom_site_fract_x
_atom_site_fract_y
_atom_site_fract_z
_atom_site_occupancy
Sm1 0.0000 0.5000 0.2500 1
Fe1 0.0000 0.0000 0.5000 1
Si1 0.0000 0.0000 0.0000 1
Si2 0.0000 0.5000 0.6260 1
Si3 0.5000 0.5000 0.0000 1
Pt1 0.0000 0.5000 0.8716 1
Pt2 0.5000 0.5000 0.5000 1
```

(6)
Sm3FeSi2Pt9 | PBE | optimized geometry

ΔE_f (raw): -0.6484 eV/atom
DFT total energy: -97.6 eV for the cell shown
size of the total moment: 3.18 Bohr magnetons per cell

CIF file:
```
data_Sm3FeSi2Pt9
_chemical_formula_sum 'Sm3 Fe1 Si2 Pt9'
_cell_length_a 6.3930
_cell_length_b 6.3930
_cell_length_c 8.8279
_cell_angle_alpha 90.00
_cell_angle_beta 90.00
_cell_angle_gamma 120.00
_symmetry_space_group_name_H-M 'P -3 m 1'
_symmetry_Int_Tables_number 164
_symmetry_space_group_name_Hall '-P 3 2"'
loop_
_atom_site_label
_atom_site_fract_x
_atom_site_fract_y
_atom_site_fract_z
_atom_site_occupancy
Sm1 0.0000 0.0000 0.0000 1
Sm2 0.3333 0.6667 0.7035 1
Fe1 0.0000 0.0000 0.5000 1
Si1 0.3333 0.6667 0.1852 1
Pt1 0.0000 0.5000 0.0000 1
Pt2 0.1425 0.2851 0.2784 1
```